# 1
Density functional theory data (GGA-PBE) for a geometry-optimized CsZn2GaRh structure.

abc: 5.0842 5.0842 4.8551
angles: 90.00 90.00 90.00
Fractional coordinates of all 5 atoms:
Cs: 0.5000 0.5000 0.5000
Ga: 0.0000 0.0000 0.5000
Rh: 0.0000 0.0000 0.0000
Zn: 0.5000 0.0000 0.0000
Zn: 0.0000 0.5000 0.0000

Output
* SG: No. 123
* energy of formation from the pure elements: -0.186 eV per atom
* energy: -2.94 eV/atom


# 2
Density functional theory data (GGA-PBE) for a geometry-optimized Cs2Ga2Ru structure.

abc: 7.0239 7.0239 6.6020
angles: 90.00 90.00 90.00
Fractional coordinates of all 10 atoms:
Cs: 0.3224 0.1776 0.5000
Ga: 0.7278 0.2278 0.0000
Ga: 0.2722 0.7722 0.0000
Ga: 0.2278 0.2722 0.0000
Cs: 0.8224 0.3224 0.5000
Ru: 0.0000 0.0000 0.0000
Cs: 0.6776 0.8224 0.5000
Ru: 0.5000 0.5000 0.0000
Cs: 0.1776 0.6776 0.5000
Ga: 0.7722 0.7278 0.0000

Output
* SG: No. 127
* energy of formation from the pure elements: 0.302 eV per atom
* energy: -3.11 eV/atom


# 3
Density functional theory data (GGA-PBE) for a geometry-optimized CsGa2Ru structure.

abc: 6.9927 6.9927 7.9578
angles: 63.94 63.94 90.00
Fractional coordinates of all 8 atoms:
Ga: 0.3750 0.6250 0.2500
Cs: 0.0000 0.0000 0.0000
Ru: 0.2500 0.7500 0.5000
Ga: 0.8750 0.6250 0.7500
Ga: 0.3750 0.6250 0.7500
Ru: 0.5000 0.5000 0.0000
Ga: 0.3750 0.1250 0.2500
Cs: 0.7500 0.2500 0.5000

Output
* SG: No. 141
* energy of formation from the pure elements: 0.094 eV per atom
* energy: -3.95 eV/atom


# 4
Density functional theory data (GGA-PBE) for a geometry-optimized CsGa2Ru structure.

abc: 5.1150 5.1150 5.1150
angles: 60.00 60.00 60.00
Each line ends with the local moment (μB).
Fractional coordinates of all 4 atoms:
Ga: 0.7500 0.7500 0.7500  -0.01
Cs: 0.5000 0.5000 0.5000  -0.01
Ru: 0.0000 0.0000 0.0000  0.97
Ga: 0.2500 0.2500 0.2500  -0.01

Output
* SG: No. 225
* energy of formation from the pure elements: 0.954 eV per atom
* energy: -3.09 eV/atom


# 5
Density functional theory data (GGA-PBE) for a geometry-optimized CsGa2SnRu structure.

abc: 5.5681 5.2222 5.5681
angles: 90.00 90.00 90.00
Each line ends with the local moment (μB).
Fractional coordinates of all 5 atoms:
Ru: 0.0000 0.5000 0.0000  1.44
Ga: 0.5000 0.0000 0.0000  -0.03
Ga: 0.0000 0.0000 0.5000  -0.02
Sn: 0.0000 0.0000 0.0000  -0.03
Cs: 0.5000 0.5000 0.5000  0.00

Output
* SG: No. 123
* energy of formation from the pure elements: 0.741 eV per atom
* energy: -3.30 eV/atom


# 6
Density functional theory data (GGA-PBE) for a geometry-optimized CsTl2GaRu structure.

abc: 5.4127 5.4127 4.9955
angles: 90.00 90.00 90.00
Fractional coordinates of all 5 atoms:
Cs: 0.5000 0.5000 0.5000
Ru: 0.0000 0.0000 0.0000
Tl: 0.0000 0.5000 0.0000
Ga: 0.0000 0.0000 0.5000
Tl: 0.5000 0.0000 0.0000

Output
* SG: No. 123
* energy of formation from the pure elements: -0.034 eV per atom
* energy: -3.61 eV/atom


# 7
Density functional theory data (GGA-PBE) for a geometry-optimized Cs2YGaRu structure.

abc: 6.1067 4.9128 6.1067
angles: 90.00 90.00 90.00
Fractional coordinates of all 5 atoms:
Ga: 0.0000 0.5000 0.0000
Cs: 0.5000 0.0000 0.0000
Ru: 0.0000 0.0000 0.0000
Cs: 0.0000 0.0000 0.5000
Y: 0.5000 0.5000 0.5000

Output
* SG: No. 123
* energy of formation from the pure elements: 1.017 eV per atom
* energy: -3.08 eV/atom


# 8
Density functional theory data (GGA-PBE) for a geometry-optimized CsZnGa2Ru structure.

abc: 4.9279 4.9279 5.1374
angles: 90.00 90.00 90.00
Fractional coordinates of all 5 atoms:
Ga: 0.5000 0.0000 0.0000
Zn: 0.0000 0.0000 0.5000
Cs: 0.5000 0.5000 0.5000
Ga: 0.0000 0.5000 0.0000
Ru: 0.0000 0.0000 0.0000

Output
* SG: No. 123
* energy of formation from the pure elements: -0.116 eV per atom
* energy: -3.61 eV/atom